# 1
The following is a PBE-GGA calculation of a relaxed structure of PmEr2Pd, from Alexandria via LeMat-Bulk.

Its energy relative to the elements is -0.31 eV/atom. The calculation puts the density at 8.54 g cm⁻³.

The structure in POSCAR format:
```
PmEr2Pd
1.0
1.838 1.061 9.737
-1.838 1.061 9.737
0.000 -2.122 9.737
Pm Er Pd
1 2 1
direct
0.000 0.000 0.000 Pm
0.231 0.231 0.231 Er
0.769 0.769 0.769 Er
0.500 0.500 0.500 Pd
```

***

# 2
The following is a PBE-GGA calculation of a relaxed structure of PmErPd4, from Alexandria via LeMat-Bulk.

Its energy relative to the elements is -0.80 eV/atom. The calculation puts the density at 10.60 g cm⁻³.

The structure in POSCAR format:
```
PmErPd4
1.0
0.000 3.866 3.866
3.866 0.000 3.866
3.866 3.866 0.000
Pm Er Pd
1 1 4
direct
0.000 0.000 0.000 Pm
0.750 0.750 0.750 Er
0.375 0.375 0.375 Pd
0.375 0.375 0.874 Pd
0.375 0.874 0.375 Pd
0.874 0.375 0.375 Pd
```

***

# 3
The following is a PBE-GGA calculation of a relaxed structure of PmErPd4, from Alexandria via LeMat-Bulk.

Its energy relative to the elements is -0.59 eV/atom. The calculation puts the density at 9.19 g cm⁻³.

The structure in POSCAR format:
```
PmErPd4
1.0
3.948 0.000 0.000
0.000 3.948 0.000
0.000 0.000 8.557
Pm Er Pd
1 1 4
direct
0.000 0.000 0.000 Pm
0.500 0.500 0.500 Er
0.000 0.500 0.257 Pd
0.000 0.500 0.743 Pd
0.500 0.000 0.257 Pd
0.500 0.000 0.743 Pd
```

***

Computed values of ΔE to the lowest computed polymorph (unit: meV per atom) for the preceding records, in sequence: 158.1; 0.0; 210.6.